1.
This record from Alexandria via LeMat-Bulk describes crystalline CsNpTeS6 at its relaxed geometry. The functional is PBE.

Uncorrected formation energy ... -0.568 eV per atom

```
data_CsNpTeS6
_chemical_formula_sum 'Cs1 Np1 Te1 S6'
_symmetry_space_group_name_H-M 'P 3 1 2'
_symmetry_Int_Tables_number 149
_cell_length_a 6.7077
_cell_length_b 6.7077
_cell_length_c 8.0492
_cell_angle_alpha 90.00
_cell_angle_beta 90.00
_cell_angle_gamma 120.00
loop_
_symmetry_equiv_pos_as_xyz
'x,y,z'
'-y,x-y,z'
'-x+y,-x,z'
'-y,-x,-z'
'-x+y,y,-z'
'x,x-y,-z'
loop_
_atom_site_label
_atom_site_fract_x
_atom_site_fract_y
_atom_site_fract_z
_atom_site_occupancy
Cs1 0.0000 0.0000 0.0000 1
Np1 0.3333 0.6667 0.5000 1
Te1 0.6667 0.3333 0.5000 1
S1 0.0142 0.3787 0.6798 1
```

=====

2.
This record from Alexandria via LeMat-Bulk describes crystalline GeNO2F at its relaxed geometry. The functional is PBE.

Uncorrected formation energy ... 1.402 eV per atom

```
data_GeNO2F
_chemical_formula_sum 'Ge1 N1 O2 F1'
_symmetry_space_group_name_H-M 'P 4/m m m'
_symmetry_Int_Tables_number 123
_symmetry_space_group_name_Hall '-P 4 2'
_cell_length_a 4.308
_cell_length_b 4.308
_cell_length_c 3.441
_cell_angle_alpha 90.00
_cell_angle_beta 90.00
_cell_angle_gamma 90.00
loop_
_atom_site_label
_atom_site_fract_x
_atom_site_fract_y
_atom_site_fract_z
_atom_site_occupancy
Ge1 0.000 0.000 0.000 1
N1 0.500 0.500 0.000 1
O1 0.000 0.500 0.500 1
F1 0.500 0.500 0.500 1
```

=====

3.
This record from Alexandria via LeMat-Bulk describes crystalline Na4NdTa3O12 at its relaxed geometry. The functional is PBE.

Uncorrected formation energy ... -2.344 eV per atom

```
data_Na4NdTa3O12
_chemical_formula_sum 'Na8 Nd2 Ta6 O24'
_symmetry_space_group_name_H-M 'I m -3 m'
_symmetry_Int_Tables_number 229
_symmetry_space_group_name_Hall '-I 4 2 3'
_cell_length_a 8.291
_cell_length_b 8.291
_cell_length_c 8.291
_cell_angle_alpha 90.00
_cell_angle_beta 90.00
_cell_angle_gamma 90.00
loop_
_atom_site_label
_atom_site_fract_x
_atom_site_fract_y
_atom_site_fract_z
_atom_site_occupancy
Na1 0.250 0.250 0.250 1
Nd1 0.000 0.000 0.000 1
Ta1 0.000 0.000 0.500 1
O1 0.000 0.000 0.271 1
O2 0.000 0.250 0.500 1
```